Arrangement a

DFT (GGA-PBE) results for a geometry-optimized SrLi2Re structure.

- crystal system = monoclinic
- spin magnetization (μB/cell) = 0.00

a b c (Å): 6.219 9.764 2.782
angles (deg): 90.00 112.48 90.00
Space group C2/m (No. 12)
Symmetry-distinct sites (fractional):
Sr  0.000  0.000  0.000
Li  0.250  0.250  0.500
Re  0.000  0.500  0.000



Arrangement b

DFT (GGA-PBE) results for a geometry-optimized SrLi2Re structure.

- crystal system = cubic
- spin magnetization (μB/cell) = 10.84

a b c (Å): 7.144 7.144 7.144
angles (deg): 90.00 90.00 90.00
Space group F-43m (No. 216)
Symmetry-distinct sites (fractional):
Sr  0.000  0.000  0.000
Li  0.000  0.000  0.500
Li  0.250  0.250  0.250
Re  0.250  0.250  0.750



Verdict on stability: arrangement b comes out at the bottom.



Arrangement a

DFT (GGA-PBE) results for a geometry-optimized SrLi2Re structure.

- crystal system = orthorhombic
- spin magnetization (μB/cell) = 0.00

a b c (Å): 3.927 4.187 9.908
angles (deg): 90.00 90.00 90.00
Space group Cmm2 (No. 35)
Symmetry-distinct sites (fractional):
Sr  0.000  0.000  0.000
Li  0.000  0.000  0.549
Li  0.000  0.500  0.309
Re  0.000  0.500  0.747



Arrangement b

DFT (GGA-PBE) results for a geometry-optimized SrLi2Re structure.

- crystal system = monoclinic
- spin magnetization (μB/cell) = 0.00

a b c (Å): 2.749 4.903 5.880
angles (deg): 90.00 92.01 90.00
Space group P2/m (No. 10)
Symmetry-distinct sites (fractional):
Sr  0.000  0.000  0.000
Li  0.185  0.500  0.680
Re  0.500  0.000  0.500



Verdict on stability: arrangement a comes out at the bottom.



Arrangement a

DFT (GGA-PBE) results for a geometry-optimized Li2TaRe structure.

- crystal system = cubic
- spin magnetization (μB/cell) = 0.00

a b c (Å): 6.234 6.234 6.234
angles (deg): 90.00 90.00 90.00
Space group F-43m (No. 216)
Symmetry-distinct sites (fractional):
Li  0.000  0.000  0.000
Li  0.250  0.250  0.250
Ta  0.000  0.000  0.500
Re  0.250  0.250  0.750



Arrangement b

DFT (GGA-PBE) results for a geometry-optimized Li2TaRe structure.

- crystal system = tetragonal
- spin magnetization (μB/cell) = 0.00

a b c (Å): 6.966 6.966 4.979
angles (deg): 90.00 90.00 90.00
Space group I-42d (No. 122)
Symmetry-distinct sites (fractional):
Li  0.237  0.250  0.125
Ta  0.000  0.000  0.500
Re  0.000  0.000  0.000



Arrangement c

DFT (GGA-PBE) results for a geometry-optimized Li2TaRe structure.

- crystal system = monoclinic
- spin magnetization (μB/cell) = 0.00

a b c (Å): 2.711 4.938 4.824
angles (deg): 90.00 98.98 90.00
Space group P2/m (No. 10)
Symmetry-distinct sites (fractional):
Li  0.225  0.000  0.267
Ta  0.500  0.500  0.000
Re  0.000  0.500  0.500



Verdict on stability: arrangement b comes out at the bottom.